An optimized crystal structure of Er2ReTcN6, computed with PBE.

Formation energy (no corrections) in eV/atom: -0.634
Calculated volume in A^3/atom: 11.541
Raw total energy in eV per atom: -8.82

Lattice parameters (Å, degrees): 5.334 5.616 9.369 90.00 124.67 90.00
Space group P2_1/c (No. 14)
Unique sites:
Er1 0.238 0.070 0.250 x4
Re1 0.500 0.000 0.000 x2
Tc1 0.000 0.000 0.500 x2
N1 0.148 0.197 0.953 x4
N2 0.260 0.700 0.953 x4
N3 0.342 0.022 0.751 x4

=====

An optimized crystal structure of YThCuSi, computed with PBE.

Formation energy (no corrections) in eV/atom: -0.337
Calculated volume in A^3/atom: 22.432
Raw total energy in eV per atom: -6.19

Lattice parameters (Å, degrees): 7.107 7.107 7.107 90.00 90.00 90.00
Space group F-43m (No. 216)
Unique sites:
Y1 0.000 0.000 0.000 x4
Th1 0.000 0.000 0.500 x4
Cu1 0.250 0.250 0.750 x4
Si1 0.250 0.250 0.250 x4